## i
Density functional theory data (GGA-PBE) for crystalline TaBeP2S at its relaxed geometry.

The theoretical density comes out at 6.2 g/cm³. The magnetic moment comes out at 0.0 μB/f.u. Its crystal system is tetragonal.

Cell and atoms, written as POSCAR:
```
TaBeP2S
1.0
4.0223 0.0000 0.0000
0.0000 4.0223 0.0000
0.0000 0.0000 4.6687
P Be S Ta
2 1 1 1
direct
0.5000 0.0000 0.0000 P
0.0000 0.5000 0.0000 P
0.0000 0.0000 0.0000 Be
0.0000 0.0000 0.5000 S
0.5000 0.5000 0.5000 Ta
```

***

## ii
Density functional theory data (GGA-PBE) for crystalline TaBeP2S at its relaxed geometry.

The theoretical density comes out at 4.3 g/cm³. The magnetic moment comes out at 0.0 μB/f.u. Its crystal system is tetragonal.

Cell and atoms, written as POSCAR:
```
TaBeP2S
1.0
4.8577 0.0000 0.0000
0.0000 4.8577 0.0000
0.0000 0.0000 4.6775
P Be Ta S
2 1 1 1
direct
0.5000 0.0000 0.0000 P
0.0000 0.5000 0.0000 P
0.5000 0.5000 0.5000 Be
0.0000 0.0000 0.0000 Ta
0.0000 0.0000 0.5000 S
```

***

Which of them is the most stable, and which is the least stable? i and ii, in that order.

***

## i
Density functional theory data (GGA-PBE) for crystalline TiBeP2S at its relaxed geometry.

The theoretical density comes out at 2.5 g/cm³. The magnetic moment comes out at 0.0 μB/f.u. Its crystal system is tetragonal.

Cell and atoms, written as POSCAR:
```
TiBeP2S
1.0
4.7256 0.0000 0.0000
0.0000 4.7256 0.0000
0.0000 0.0000 4.5719
S P Ti Be
1 2 1 1
direct
0.0000 0.0000 0.5000 S
0.0000 0.5000 0.0000 P
0.5000 0.0000 0.0000 P
0.0000 0.0000 0.0000 Ti
0.5000 0.5000 0.5000 Be
```

***

## ii
Density functional theory data (GGA-PBE) for crystalline TiBeP2S at its relaxed geometry.

The theoretical density comes out at 3.2 g/cm³. The magnetic moment comes out at 0.9 μB/f.u. Its crystal system is tetragonal.

Cell and atoms, written as POSCAR:
```
TiBeP2S
1.0
4.0020 0.0000 0.0000
0.0000 4.0020 0.0000
0.0000 0.0000 4.9559
Ti Be P S
1 1 2 1
direct
0.5000 0.5000 0.5000 Ti
0.0000 0.0000 0.0000 Be
0.0000 0.5000 0.0000 P
0.5000 0.0000 0.0000 P
0.0000 0.0000 0.5000 S
```

***

Which of them is the most stable, and which is the least stable? ii and i, in that order.

***

## i
Density functional theory data (GGA-PBE) for crystalline BeVP2S at its relaxed geometry.

The theoretical density comes out at 2.8 g/cm³. The magnetic moment comes out at 0.0 μB/f.u. Its crystal system is tetragonal.

Cell and atoms, written as POSCAR:
```
BeVP2S
1.0
-0.8466 -2.2604 -3.8850
-1.1126 -3.7249 2.4097
-4.2080 1.3442 0.1349
S V P Be
1 1 2 1
direct
0.0000 0.0000 0.5000 S
0.0000 0.0000 0.0000 V
0.0000 0.5000 0.0000 P
0.5000 0.0000 0.0000 P
0.5000 0.5000 0.5000 Be
```

***

## ii
Density functional theory data (GGA-PBE) for crystalline BeVP2S at its relaxed geometry.

The theoretical density comes out at 3.4 g/cm³. The magnetic moment comes out at 0.1 μB/f.u. Its crystal system is tetragonal.

Cell and atoms, written as POSCAR:
```
BeVP2S
1.0
4.0171 0.0000 0.0000
0.0000 4.0171 0.0000
0.0000 0.0000 4.7198
Be P V S
1 2 1 1
direct
0.0000 0.0000 0.0000 Be
0.0000 0.5000 0.0000 P
0.5000 0.0000 0.0000 P
0.5000 0.5000 0.5000 V
0.0000 0.0000 0.5000 S
```

***

Which of them is the most stable, and which is the least stable? i and ii, in that order.

***

## i
Density functional theory data (GGA-PBE) for crystalline BeP2WS at its relaxed geometry.

The theoretical density comes out at 4.6 g/cm³. The magnetic moment comes out at 0.0 μB/f.u. Its crystal system is tetragonal.

Cell and atoms, written as POSCAR:
```
BeP2WS
1.0
-3.7788 2.5952 -1.3572
-1.2144 -3.4045 -3.1289
-2.5334 -2.0234 3.1849
S P W Be
1 2 1 1
direct
0.0000 0.0000 0.5000 S
0.5000 0.0000 0.0000 P
0.0000 0.5000 0.0000 P
0.0000 0.0000 0.0000 W
0.5000 0.5000 0.5000 Be
```

***

## ii
Density functional theory data (GGA-PBE) for crystalline BeP2WS at its relaxed geometry.

The theoretical density comes out at 6.6 g/cm³. The magnetic moment comes out at 0.0 μB/f.u. Its crystal system is tetragonal.

Cell and atoms, written as POSCAR:
```
BeP2WS
1.0
4.0073 0.0000 0.0000
0.0000 4.0073 0.0000
0.0000 0.0000 4.5247
P S W Be
2 1 1 1
direct
0.0000 0.5000 0.0000 P
0.5000 0.0000 0.0000 P
0.0000 0.0000 0.5000 S
0.5000 0.5000 0.5000 W
0.0000 0.0000 0.0000 Be
```

***

Which of them is the most stable, and which is the least stable? i and ii, in that order.

***

## i
Density functional theory data (GGA-PBE) for crystalline BeZnP2S at its relaxed geometry.

The theoretical density comes out at 2.9 g/cm³. The magnetic moment comes out at 0.1 μB/f.u. Its crystal system is tetragonal.

Cell and atoms, written as POSCAR:
```
BeZnP2S
1.0
-0.7376 4.0214 1.9791
-4.2647 -1.2466 0.9436
1.4372 -1.7775 4.1474
S Zn Be P
1 1 1 2
direct
0.0000 0.0000 0.5000 S
0.0000 0.0000 0.0000 Zn
0.5000 0.5000 0.5000 Be
0.0000 0.5000 0.0000 P
0.5000 0.0000 0.0000 P
```

***

## ii
Density functional theory data (GGA-PBE) for crystalline BeZnP2S at its relaxed geometry.

The theoretical density comes out at 3.4 g/cm³. The magnetic moment comes out at 0.0 μB/f.u. Its crystal system is tetragonal.

Cell and atoms, written as POSCAR:
```
BeZnP2S
1.0
-2.6307 2.8278 1.3541
-1.7201 0.1761 -3.7095
-3.1472 -3.5460 1.2910
P Zn S Be
2 1 1 1
direct
0.0000 0.5000 0.0000 P
0.5000 0.0000 0.0000 P
0.5000 0.5000 0.5000 Zn
0.0000 0.0000 0.5000 S
0.0000 0.0000 0.0000 Be
```

***

Which of them is the most stable, and which is the least stable? ii and i, in that order.

***

## i
Density functional theory data (GGA-PBE) for crystalline BeZnPS2 at its relaxed geometry.

The theoretical density comes out at 2.8 g/cm³. The magnetic moment comes out at 0.5 μB/f.u. Its crystal system is tetragonal.

Cell and atoms, written as POSCAR:
```
BeZnPS2
1.0
-0.2996 1.5822 4.3770
2.2400 -3.7956 1.5254
3.9772 2.1449 -0.5031
Be P Zn S
1 1 1 2
direct
0.5000 0.5000 0.5000 Be
0.0000 0.0000 0.5000 P
0.0000 0.0000 0.0000 Zn
0.0000 0.5000 0.0000 S
0.5000 0.0000 0.0000 S
```

***

## ii
Density functional theory data (GGA-PBE) for crystalline BeZnPS2 at its relaxed geometry.

The theoretical density comes out at 3.4 g/cm³. The magnetic moment comes out at 0.0 μB/f.u. Its crystal system is tetragonal.

Cell and atoms, written as POSCAR:
```
BeZnPS2
1.0
4.5634 0.0000 0.0000
0.0000 4.5634 0.0000
0.0000 0.0000 3.9895
P S Zn Be
1 2 1 1
direct
0.0000 0.0000 0.5000 P
0.0000 0.5000 0.0000 S
0.5000 0.0000 0.0000 S
0.5000 0.5000 0.5000 Zn
0.0000 0.0000 0.0000 Be
```

***

Which of them is the most stable, and which is the least stable? ii and i, in that order.

***

## i
Density functional theory data (GGA-PBE) for crystalline ZrBeP2S at its relaxed geometry.

The theoretical density comes out at 2.6 g/cm³. The magnetic moment comes out at 0.0 μB/f.u. Its crystal system is tetragonal.

Cell and atoms, written as POSCAR:
```
ZrBeP2S
1.0
-2.3668 2.0299 3.9889
-2.8513 -4.1620 0.4262
3.3263 -1.9739 2.9781
P Be S Zr
2 1 1 1
direct
0.0000 0.5000 0.0000 P
0.5000 0.0000 0.0000 P
0.5000 0.5000 0.5000 Be
0.0000 0.0000 0.5000 S
0.0000 0.0000 0.0000 Zr
```

***

## ii
Density functional theory data (GGA-PBE) for crystalline ZrBeP2S at its relaxed geometry.

The theoretical density comes out at 4.0 g/cm³. The magnetic moment comes out at 0.0 μB/f.u. Its crystal system is tetragonal.

Cell and atoms, written as POSCAR:
```
ZrBeP2S
1.0
4.0396 0.0000 0.0000
0.0000 4.0396 0.0000
0.0000 0.0000 4.9996
S P Be Zr
1 2 1 1
direct
0.0000 0.0000 0.5000 S
0.5000 0.0000 0.0000 P
0.0000 0.5000 0.0000 P
0.0000 0.0000 0.0000 Be
0.5000 0.5000 0.5000 Zr
```

***

Which of them is the most stable, and which is the least stable? ii and i, in that order.